Entry from Alexandria via LeMat-Bulk: an optimized crystal structure of KCd5In7 (PBE).

```
KCd5In7
1.0
-0.496 1.542 5.787
7.348 0.553 3.603
0.329 8.137 0.980
Cd K In
5 1 7
direct
0.717 0.783 0.783 Cd
0.999 0.505 0.997 Cd
0.499 0.997 0.505 Cd
0.499 0.505 0.997 Cd
0.999 0.997 0.505 Cd
0.000 0.000 0.000 K
0.000 0.648 0.352 In
0.501 0.791 0.208 In
0.354 0.646 0.646 In
0.647 0.353 0.353 In
0.000 0.352 0.648 In
0.501 0.208 0.791 In
0.284 0.216 0.216 In
```

Crystal system: orthorhombic



Entry from Alexandria via LeMat-Bulk: an optimized crystal structure of K12Cd6In (PBE).

```
K12Cd6In
1.0
-5.576 7.974 1.488
-8.888 -3.725 2.005
-0.612 0.607 9.806
K Cd In
12 6 1
direct
0.458 0.810 0.458 K
0.877 0.877 0.465 K
0.542 0.190 0.542 K
0.190 0.542 0.542 K
0.810 0.458 0.458 K
0.535 0.123 0.123 K
0.542 0.542 0.190 K
0.465 0.877 0.877 K
0.123 0.123 0.535 K
0.877 0.465 0.877 K
0.458 0.458 0.810 K
0.123 0.535 0.123 K
0.209 0.879 0.209 Cd
0.121 0.791 0.791 Cd
0.791 0.121 0.791 Cd
0.209 0.209 0.879 Cd
0.791 0.791 0.121 Cd
0.879 0.209 0.209 Cd
0.000 0.000 0.000 In
```

Crystal system: trigonal



Entry from Alexandria via LeMat-Bulk: an optimized crystal structure of KCd2In (PBE).

```
KCd2In
1.0
-1.625 2.898 4.299
-3.487 -2.153 3.567
1.696 -1.347 4.983
In Cd K
1 2 1
direct
0.500 0.500 0.500 In
0.250 0.250 0.250 Cd
0.000 0.000 0.000 Cd
0.750 0.750 0.750 K
```

Crystal system: cubic



Entry from Alexandria via LeMat-Bulk: an optimized crystal structure of KCdIn2 (PBE).

```
KCdIn2
1.0
3.742 0.000 0.000
0.000 3.742 0.000
0.000 0.000 8.649
In K Cd
2 1 1
direct
0.000 0.000 0.947 In
0.000 0.000 0.553 In
0.500 0.500 0.250 K
0.500 0.500 0.750 Cd
```

Crystal system: tetragonal



Entry from Alexandria via LeMat-Bulk: an optimized crystal structure of KCd3In (PBE).

```
KCd3In
1.0
6.165 0.000 0.000
0.000 6.165 0.000
0.000 0.000 6.165
K In Cd
1 1 3
direct
0.000 0.000 0.000 K
0.500 0.500 0.500 In
0.500 0.000 0.000 Cd
0.000 0.000 0.500 Cd
0.000 0.500 0.000 Cd
```

Crystal system: cubic
E above lowest polymorph: 3.538 eV per formula unit



Entry from Alexandria via LeMat-Bulk: an optimized crystal structure of K3Cd6In5 (PBE).

```
K3Cd6In5
1.0
4.986 0.000 0.000
0.000 11.139 0.000
0.000 0.000 14.632
In Cd K
10 12 6
direct
0.000 0.908 0.679 In
0.000 0.517 0.859 In
0.000 0.722 0.000 In
0.500 0.092 0.821 In
0.500 0.483 0.641 In
0.000 0.908 0.321 In
0.500 0.278 0.500 In
0.500 0.483 0.359 In
0.000 0.517 0.141 In
0.500 0.092 0.179 In
0.500 0.367 0.165 Cd
0.500 0.367 0.835 Cd
0.500 0.952 0.000 Cd
0.000 0.959 0.116 Cd
0.500 0.530 0.000 Cd
0.000 0.633 0.665 Cd
0.500 0.041 0.384 Cd
0.000 0.633 0.335 Cd
0.000 0.048 0.500 Cd
0.000 0.470 0.500 Cd
0.000 0.959 0.884 Cd
0.500 0.041 0.616 Cd
0.000 0.254 0.308 K
0.000 0.243 0.000 K
0.500 0.746 0.192 K
0.000 0.254 0.692 K
0.500 0.746 0.808 K
0.500 0.757 0.500 K
```

Crystal system: orthorhombic



What did we get for spin magnetization? Answer: 0.00 0.00 0.00 0.00 0.00 0.00 μB per cell, in the order shown.
What did we get for DOS at the Fermi energy? Answer: 5.36 12.18 1.95 1.11 6.06 5.39 states/eV/f.u., in the order shown.
What did we get for DFT formation energy? Answer: -0.3 0.5 0.1 -0.3 3.2 -1.3 eV per formula unit, in the order shown.